Material: LaTe2Br
Method: DFT, PBE-GGA
State: optimized geometry

Results
The value obtained for the density is 5.97 g/cm3. As for the energy above the lowest structure with this stoichiometry: 0.2727 eV/atom. For the total DFT energy (no corrections), the calculation gives -4.14 eV per atom. Its uncorrected formation energy is -356 kJ/mol of formula units.

Structure (POSCAR):
```
LaTe2Br
1.0
-3.1529 -1.1179 -2.1206
1.0224 -3.7961 0.4811
-4.5988 -0.3487 7.0213
Te Br La
2 1 1
Direct
0.0000 0.0000 0.9747 Te
0.5000 0.5000 0.1775 Te
0.0000 0.0000 0.5702 Br
0.5000 0.5000 0.7776 La
```

Material: LaTe2Br
Method: DFT, PBE-GGA
State: optimized geometry

Results
The value obtained for the density is 6.27 g/cm3. As for the energy above the lowest structure with this stoichiometry: 0.2559 eV/atom. For the total DFT energy (no corrections), the calculation gives -4.16 eV per atom. Its uncorrected formation energy is -363 kJ/mol of formula units.

Structure (POSCAR):
```
LaTe2Br
1.0
-2.1177 -3.9594 0.0394
3.0457 -1.6004 2.8854
-6.5525 1.0679 11.0030
Te Br La
4 2 2
Direct
0.8750 0.8836 0.7500 Te
0.1164 0.6250 0.2500 Te
0.6336 0.1250 0.2500 Te
0.3750 0.3664 0.7500 Te
0.2500 0.7500 0.5000 Br
0.5000 0.5000 0.0000 Br
0.7500 0.2500 0.5000 La
0.0000 0.0000 0.0000 La
```

Material: LaTeBr2
Method: DFT, PBE-GGA
State: optimized geometry

Results
The value obtained for the density is 4.36 g/cm3. As for the energy above the lowest structure with this stoichiometry: 0.0496 eV/atom. For the total DFT energy (no corrections), the calculation gives -4.19 eV per atom. Its uncorrected formation energy is -515 kJ/mol of formula units.

Structure (POSCAR):
```
LaTeBr2
1.0
-1.6422 -7.9285 -0.9836
-0.6553 -7.5851 2.9262
-5.1408 -0.9523 1.3813
Br Te La
2 1 1
Direct
0.9022 0.9022 0.0982 Br
0.5978 0.5978 0.4018 Br
0.7500 0.7500 0.7500 Te
0.2500 0.2500 0.2500 La
```

Material: La4TeBr
Method: DFT, PBE-GGA
State: optimized geometry

Results
The value obtained for the density is 6.43 g/cm3. For the total DFT energy (no corrections), the calculation gives -4.33 eV per atom. Its uncorrected formation energy is -138 kJ/mol of formula units.

Structure (POSCAR):
```
La4TeBr
1.0
6.0663 -1.6952 -1.7302
2.9044 -5.1064 2.8561
1.0162 -5.4933 -3.3851
La Te Br
4 1 1
Direct
0.3766 0.8702 0.3766 La
0.8702 0.3766 0.3766 La
0.3766 0.3766 0.8702 La
0.3766 0.3766 0.3766 La
0.7500 0.7500 0.7500 Te
0.0000 0.0000 0.0000 Br
```

Question: The highest uncorrected formation energy belongs to which entry?
Answer: La4TeBr

Please write out number 1 again, unchanged.
Material: LaTe2Br
Method: DFT, PBE-GGA
State: optimized geometry

Results
The value obtained for the density is 5.97 g/cm3. As for the energy above the lowest structure with this stoichiometry: 0.2727 eV/atom. For the total DFT energy (no corrections), the calculation gives -4.14 eV per atom. Its uncorrected formation energy is -356 kJ/mol of formula units.

Structure (POSCAR):
```
LaTe2Br
1.0
-3.1529 -1.1179 -2.1206
1.0224 -3.7961 0.4811
-4.5988 -0.3487 7.0213
Te Br La
2 1 1
Direct
0.0000 0.0000 0.9747 Te
0.5000 0.5000 0.1775 Te
0.0000 0.0000 0.5702 Br
0.5000 0.5000 0.7776 La
```

Question: Which of these has the highest uncorrected formation energy?
Answer: La4TeBr

Question: The lowest uncorrected formation energy belongs to which entry?
Answer: LaTeBr2